Entry 1:
# Ce2TlNi, optimized geometry, DFT PBE
data_Ce2TlNi
_symmetry_space_group_name_H-M 'P 1'
_symmetry_Int_Tables_number 1
_cell_length_a 3.812
_cell_length_b 3.812
_cell_length_c 25.639
_cell_angle_alpha 90.00
_cell_angle_beta 90.00
_cell_angle_gamma 120.00
loop_
_symmetry_equiv_pos_as_xyz
'x,y,z'
loop_
_atom_site_label
_atom_site_type_symbol
_atom_site_fract_x
_atom_site_fract_y
_atom_site_fract_z
Ce1 Ce 0.000 0.000 0.232
Ce2 Ce 0.000 0.000 0.768
Ce3 Ce 0.333 0.667 0.435
Ce4 Ce 0.333 0.667 0.899
Ce5 Ce 0.667 0.333 0.101
Ce6 Ce 0.667 0.333 0.565
Tl1 Tl 0.000 0.000 0.000
Tl2 Tl 0.333 0.667 0.667
Tl3 Tl 0.667 0.333 0.333
Ni1 Ni 0.000 0.000 0.500
Ni2 Ni 0.333 0.667 0.167
Ni3 Ni 0.667 0.333 0.833
# * distance to the lowest polymorph of the same formula: 99 meV/atom

Entry 2:
# Ce2TlNi, optimized geometry, DFT PBE
data_Ce2TlNi
_symmetry_space_group_name_H-M 'P 1'
_symmetry_Int_Tables_number 1
_cell_length_a 13.450
_cell_length_b 3.468
_cell_length_c 8.037
_cell_angle_alpha 90.00
_cell_angle_beta 95.80
_cell_angle_gamma 90.00
loop_
_symmetry_equiv_pos_as_xyz
'x,y,z'
loop_
_atom_site_label
_atom_site_type_symbol
_atom_site_fract_x
_atom_site_fract_y
_atom_site_fract_z
Ce1 Ce 0.066 0.000 0.303
Ce2 Ce 0.244 0.000 0.686
Ce3 Ce 0.256 0.500 0.314
Ce4 Ce 0.434 0.500 0.697
Ce5 Ce 0.566 0.500 0.303
Ce6 Ce 0.744 0.500 0.686
Ce7 Ce 0.756 0.000 0.314
Ce8 Ce 0.934 0.000 0.697
Tl1 Tl 0.114 0.500 0.949
Tl2 Tl 0.386 0.000 0.051
Tl3 Tl 0.614 0.000 0.949
Tl4 Tl 0.886 0.500 0.051
Ni1 Ni 0.086 0.500 0.593
Ni2 Ni 0.414 0.000 0.407
Ni3 Ni 0.586 0.000 0.593
Ni4 Ni 0.914 0.500 0.407
# * distance to the lowest polymorph of the same formula: 0 meV/atom

Entry 3:
DFT (PBE) results for an optimized crystal structure of CeTlZnNi.

Cell and atoms, written as CIF:
```
data_CeTlZnNi
_symmetry_space_group_name_H-M 'P 1'
_symmetry_Int_Tables_number 1
_cell_length_a 6.806
_cell_length_b 6.806
_cell_length_c 6.806
_cell_angle_alpha 90.00
_cell_angle_beta 90.00
_cell_angle_gamma 90.00
loop_
_symmetry_equiv_pos_as_xyz
'x,y,z'
loop_
_atom_site_label
_atom_site_type_symbol
_atom_site_fract_x
_atom_site_fract_y
_atom_site_fract_z
Ce1 Ce 0.000 0.000 0.000
Ce2 Ce 0.000 0.500 0.500
Ce3 Ce 0.500 0.000 0.500
Ce4 Ce 0.500 0.500 0.000
Tl1 Tl 0.000 0.000 0.500
Tl2 Tl 0.000 0.500 0.000
Tl3 Tl 0.500 0.000 0.000
Tl4 Tl 0.500 0.500 0.500
Zn1 Zn 0.250 0.250 0.250
Zn2 Zn 0.250 0.750 0.750
Zn3 Zn 0.750 0.250 0.750
Zn4 Zn 0.750 0.750 0.250
Ni1 Ni 0.250 0.250 0.750
Ni2 Ni 0.250 0.750 0.250
Ni3 Ni 0.750 0.250 0.250
Ni4 Ni 0.750 0.750 0.750
```

Entry 4:
# Ce2TmNi, optimized geometry, DFT PBE
data_Ce2TmNi
_symmetry_space_group_name_H-M 'P 1'
_symmetry_Int_Tables_number 1
_cell_length_a 3.602
_cell_length_b 3.602
_cell_length_c 27.700
_cell_angle_alpha 90.00
_cell_angle_beta 90.00
_cell_angle_gamma 120.00
loop_
_symmetry_equiv_pos_as_xyz
'x,y,z'
loop_
_atom_site_label
_atom_site_type_symbol
_atom_site_fract_x
_atom_site_fract_y
_atom_site_fract_z
Ce1 Ce 0.000 0.000 0.232
Ce2 Ce 0.000 0.000 0.768
Ce3 Ce 0.333 0.667 0.435
Ce4 Ce 0.333 0.667 0.898
Ce5 Ce 0.667 0.333 0.102
Ce6 Ce 0.667 0.333 0.565
Tm1 Tm 0.000 0.000 0.000
Tm2 Tm 0.333 0.667 0.667
Tm3 Tm 0.667 0.333 0.333
Ni1 Ni 0.000 0.000 0.500
Ni2 Ni 0.333 0.667 0.167
Ni3 Ni 0.667 0.333 0.833
# * distance to the lowest polymorph of the same formula: 44 meV/atom

Asked for formation enthalpy at 0 K across the records above, the calculation gives -146.0, -245.1, -170.9, -14.3 meV/atom in order.